Here is a relaxed structure of CdOs3 from Alexandria. Energies are from PBE.

Summary:
crystal system: orthorhombic
calculated density: 18.01 g cm⁻³
formation energy from the elements: 0.5612 eV/atom

Lattice parameters (Å, degrees): 2.7641 3.8465 6.5394 90.00 64.97 90.00
Fractional coordinates of all 4 atoms:
1 Os 0.7803 0.5000 0.7208
2 Os 0.5000 0.0000 0.5000
3 Os 0.2197 0.5000 0.2792
4 Cd 0.0000 0.0000 0.0000